# 1
The following is a PBE calculation of a geometry-optimized Li4AgHg7 structure, from the Alexandria database.

Computed properties:
**Fermi-level density of states**: 2.9 states/eV per cell
**Volume**: 242.4 Å³/f.u.
**Total DFT energy (no corrections)**: -15.34 eV per cell
**Magnetic moment**: 0.0 Bohr magnetons per cell

POSCAR file:
```
Li4AgHg7
1.0
4.7255 0.0000 0.0000
0.3048 5.9136 0.0000
0.6103 2.4047 8.6730
Li Ag Hg
4 1 7
Direct
0.0006 0.2356 0.1490 Li
0.4727 0.5333 0.3201 Li
0.5273 0.4667 0.6799 Li
0.9994 0.7644 0.8510 Li
0.5000 0.0000 0.0000 Ag
0.0163 0.2665 0.8310 Hg
0.0374 0.7271 0.5382 Hg
0.4963 0.0329 0.3193 Hg
0.5000 0.5000 0.0000 Hg
0.5037 0.9671 0.6807 Hg
0.9626 0.2729 0.4618 Hg
0.9837 0.7335 0.1690 Hg
```

=====

# 2
The following is a PBE calculation of a geometry-optimized LiAg6Hg structure, from the Alexandria database.

Computed properties:
**Fermi-level density of states**: 3.1 states/eV per cell
**Volume**: 144.9 Å³/f.u.
**Total DFT energy (no corrections)**: -19.72 eV per cell
**Relative energy among the computed polymorphs**: 0 meV/atom
**Magnetic moment**: 0.0 Bohr magnetons per cell

POSCAR file:
```
LiAg6Hg
1.0
4.8131 0.0000 0.0000
0.0000 2.9219 5.1519
0.0000 -2.9219 5.1519
Li Ag Hg
1 6 1
Direct
0.0000 0.0000 0.0000 Li
0.0000 0.0004 0.4988 Ag
0.0000 0.4988 0.0004 Ag
0.5000 0.1577 0.6690 Ag
0.5000 0.1620 0.1620 Ag
0.5000 0.6664 0.6664 Ag
0.5000 0.6690 0.1577 Ag
0.0000 0.4997 0.4997 Hg
```

=====

# 3
The following is a PBE calculation of a geometry-optimized Li4Ag3Hg4 structure, from the Alexandria database.

Computed properties:
**Fermi-level density of states**: 2.3 states/eV per cell
**Volume**: 208.0 Å³/f.u.
**Total DFT energy (no corrections)**: -19.29 eV per cell
**Relative energy among the computed polymorphs**: 0 meV/atom
**Magnetic moment**: 0.0 Bohr magnetons per cell

POSCAR file:
```
Li4Ag3Hg4
1.0
-1.5339 3.9492 8.5845
1.5339 -3.9492 8.5845
1.5339 3.9492 -8.5845
Li Ag Hg
4 3 4
Direct
0.2037 0.0000 0.2037 Li
0.2362 0.2362 0.0000 Li
0.7638 0.7638 0.0000 Li
0.7963 0.0000 0.7963 Li
0.0926 0.5926 0.5000 Ag
0.5000 0.5000 0.0000 Ag
0.9074 0.4074 0.5000 Ag
0.1563 0.8473 0.3090 Hg
0.4617 0.1527 0.3090 Hg
0.5383 0.8473 0.6910 Hg
0.8437 0.1527 0.6910 Hg
```

=====

# 4
The following is a PBE calculation of a geometry-optimized Li7Ag2Hg2 structure, from the Alexandria database.

Computed properties:
**Fermi-level density of states**: 4.1 states/eV per cell
**Volume**: 203.7 Å³/f.u.
**Total DFT energy (no corrections)**: -22.00 eV per cell
**Magnetic moment**: 0.0 Bohr magnetons per cell

POSCAR file:
```
Li7Ag2Hg2
1.0
3.5671 -4.0623 0.0000
3.5671 4.0623 0.0000
-1.5601 0.0000 7.0301
Li Ag Hg
7 2 2
Direct
0.0000 0.0000 0.0000 Li
0.0890 0.4792 0.8000 Li
0.1661 0.1661 0.4305 Li
0.4792 0.0890 0.8000 Li
0.5208 0.9110 0.2000 Li
0.8339 0.8339 0.5695 Li
0.9110 0.5208 0.2000 Li
0.3036 0.6964 0.5000 Ag
0.6964 0.3036 0.5000 Ag
0.3775 0.3775 0.1437 Hg
0.6225 0.6225 0.8563 Hg
```

=====

Number 1: ΔH_f (0 K) -0.23 eV/atom. Number 2: ΔH_f (0 K) -0.05 eV/atom. Number 3: ΔH_f (0 K) -0.17 eV/atom. Number 4: ΔH_f (0 K) -0.21 eV/atom.